DFT (PBE) results for Pu2InRh after structural relaxation.

The structure belongs to space group P4/mmm (No. 123); the cell edges are 3.802, 3.802 and 6.311 Å and the angles 90.00°, 90.00° and 90.00°. The asymmetric unit holds Pu at (0.000, 0.000, 0.222), In at (0.500, 0.500, 0.500) and Rh at (0.500, 0.500, 0.000).

As for the calculated volume: 91.2 Å³ per cell. For the formation energy, the calculation gives -0.2634 eV per atom. The calculation puts the final energy at -9.952 eV per atom.